(1)
CaAcPb2O8: optimized geometry, GGA-PBE.

Results
Crystal system: tetragonal
Space-group type: I-4 (82)
Energy relative to the elements, uncorrected (meV per atom): -1400
Theoretical density (Mg/m³): 7.37
V (A^3/atom): 15.193
E (eV per atom): -5.8331

Lattice parameters (Å, degrees): 6.728 6.728 6.728 128.30 128.30 76.14
Element x y z (fractional)
1 Ca 0.000 0.000 0.000
2 Ac 0.750 0.250 0.500
3 Pb 0.250 0.750 0.500
4 Pb 0.500 0.500 0.000
5 O 0.105 0.651 0.054
6 O 0.166 0.190 0.547
7 O 0.349 0.403 0.454
8 O 0.380 0.834 0.024
9 O 0.597 0.051 0.946
10 O 0.644 0.620 0.453
11 O 0.810 0.356 0.976
12 O 0.949 0.895 0.546

(2)
CaAc2PdO6: optimized geometry, GGA-PBE.

Results
Crystal system: monoclinic
Space-group type: P2_1/c (14)
Energy relative to the elements, uncorrected (meV per atom): -2455
Theoretical density (Mg/m³): 7.87
V (A^3/atom): 14.687
E (eV per atom): -6.9711

Lattice parameters (Å, degrees): 5.852 6.020 10.146 90.00 124.73 90.00
Element x y z (fractional)
1 Ca 0.000 0.000 0.000
2 Ca 0.000 0.500 0.500
3 Ac 0.262 0.051 0.750
4 Ac 0.262 0.449 0.250
5 Ac 0.738 0.551 0.750
6 Ac 0.738 0.949 0.250
7 Pd 0.500 0.000 0.500
8 Pd 0.500 0.500 0.000
9 O 0.172 0.032 0.265
10 O 0.172 0.468 0.765
11 O 0.266 0.693 0.047
12 O 0.266 0.807 0.547
13 O 0.363 0.221 0.052
14 O 0.363 0.279 0.552
15 O 0.637 0.721 0.448
16 O 0.637 0.779 0.948
17 O 0.734 0.193 0.453
18 O 0.734 0.307 0.953
19 O 0.828 0.532 0.235
20 O 0.828 0.968 0.735

(3)
CaAc2PtO6: optimized geometry, GGA-PBE.

Results
Crystal system: monoclinic
Space-group type: P2_1/c (14)
Energy relative to the elements, uncorrected (meV per atom): -2508
Theoretical density (Mg/m³): 8.82
V (A^3/atom): 14.783
E (eV per atom): -7.1093

Lattice parameters (Å, degrees): 5.856 6.043 10.163 90.00 124.70 90.00
Element x y z (fractional)
1 Ca 0.000 0.000 0.000
2 Ca 0.000 0.500 0.500
3 Ac 0.263 0.052 0.750
4 Ac 0.263 0.448 0.250
5 Ac 0.737 0.552 0.750
6 Ac 0.737 0.948 0.250
7 Pt 0.500 0.000 0.500
8 Pt 0.500 0.500 0.000
9 O 0.171 0.032 0.264
10 O 0.171 0.468 0.764
11 O 0.265 0.693 0.048
12 O 0.265 0.807 0.548
13 O 0.365 0.219 0.052
14 O 0.365 0.281 0.552
15 O 0.635 0.719 0.448
16 O 0.635 0.781 0.948
17 O 0.735 0.193 0.452
18 O 0.735 0.307 0.952
19 O 0.829 0.532 0.236
20 O 0.829 0.968 0.736

(4)
CaAcPt2O8: optimized geometry, GGA-PBE.

Results
Crystal system: trigonal
Space-group type: P-3 (147)
Energy relative to the elements, uncorrected (meV per atom): -845
Theoretical density (Mg/m³): 7.90
V (A^3/atom): 13.757
E (eV per atom): -5.6667

Lattice parameters (Å, degrees): 5.426 5.426 6.475 90.00 90.00 120.00
Element x y z (fractional)
1 Ca 0.000 0.000 0.000
2 Ac 0.000 0.000 0.500
3 Pt 0.333 0.667 0.957
4 Pt 0.667 0.333 0.043
5 O 0.048 0.382 0.163
6 O 0.333 0.667 0.617
7 O 0.335 0.952 0.163
8 O 0.382 0.335 0.837
9 O 0.618 0.665 0.163
10 O 0.665 0.048 0.837
11 O 0.667 0.333 0.383
12 O 0.952 0.618 0.837

(5)
Ca2AcPtO5: optimized geometry, GGA-PBE.

Results
Crystal system: orthorhombic
Space-group type: Immm (71)
Energy relative to the elements, uncorrected (meV per atom): -2170
Theoretical density (Mg/m³): 7.35
V (A^3/atom): 14.607
E (eV per atom): -6.4971

Lattice parameters (Å, degrees): 6.639 6.639 6.639 143.94 129.43 63.67
Element x y z (fractional)
1 Ca 0.207 0.207 0.000
2 Ca 0.793 0.793 0.000
3 Ac 0.500 0.000 0.500
4 Pt 0.000 0.500 0.500
5 O 0.000 0.000 0.000
6 O 0.123 0.368 0.755
7 O 0.387 0.632 0.755
8 O 0.613 0.368 0.245
9 O 0.877 0.632 0.245

(6)
CaAc2PuO6: optimized geometry, GGA-PBE.

Results
Crystal system: monoclinic
Space-group type: P2_1/c (14)
Energy relative to the elements, uncorrected (meV per atom): -3185
Theoretical density (Mg/m³): 8.41
V (A^3/atom): 16.478
E (eV per atom): -8.6146

Lattice parameters (Å, degrees): 6.050 6.237 10.603 90.00 124.54 90.00
Element x y z (fractional)
1 Ca 0.000 0.000 0.000
2 Ca 0.000 0.500 0.500
3 Ac 0.233 0.050 0.748
4 Ac 0.233 0.450 0.248
5 Ac 0.767 0.550 0.752
6 Ac 0.767 0.950 0.252
7 Pu 0.500 0.000 0.500
8 Pu 0.500 0.500 0.000
9 O 0.145 0.190 0.441
10 O 0.145 0.310 0.941
11 O 0.238 0.708 0.430
12 O 0.238 0.792 0.930
13 O 0.380 0.055 0.259
14 O 0.380 0.445 0.759
15 O 0.620 0.555 0.241
16 O 0.620 0.945 0.741
17 O 0.762 0.208 0.070
18 O 0.762 0.292 0.570
19 O 0.855 0.690 0.059
20 O 0.855 0.810 0.559

(7)
Rb4CaAc3O8: optimized geometry, GGA-PBE.

Results
Crystal system: trigonal
Space-group type: R-3m (166)
Energy relative to the elements, uncorrected (meV per atom): -2337
Theoretical density (Mg/m³): 5.92
V (A^3/atom): 20.866
E (eV per atom): -5.9539

Lattice parameters (Å, degrees): 7.962 7.962 7.962 57.20 57.20 57.20
Element x y z (fractional)
1 Rb 0.000 0.000 0.000
2 Rb 0.000 0.500 0.500
3 Rb 0.500 0.000 0.500
4 Rb 0.500 0.500 0.000
5 Ca 0.500 0.500 0.500
6 Ac 0.000 0.000 0.500
7 Ac 0.000 0.500 0.000
8 Ac 0.500 0.000 0.000
9 O 0.229 0.728 0.728
10 O 0.230 0.230 0.230
11 O 0.272 0.272 0.771
12 O 0.272 0.771 0.272
13 O 0.728 0.229 0.728
14 O 0.728 0.728 0.229
15 O 0.770 0.770 0.770
16 O 0.771 0.272 0.272

(8)
CaAcReO6: optimized geometry, GGA-PBE.

Results
Crystal system: trigonal
Space-group type: P312 (149)
Energy relative to the elements, uncorrected (meV per atom): -2487
Theoretical density (Mg/m³): 6.47
V (A^3/atom): 15.663
E (eV per atom): -7.8542

Lattice parameters (Å, degrees): 5.605 5.605 5.180 90.00 90.00 120.00
Element x y z (fractional)
1 Ca 0.000 0.000 0.000
2 Ac 0.667 0.333 0.500
3 Re 0.333 0.667 0.000
4 O 0.055 0.387 0.210
5 O 0.055 0.668 0.790
6 O 0.332 0.387 0.790
7 O 0.332 0.945 0.210
8 O 0.613 0.668 0.210
9 O 0.613 0.945 0.790